1.
ThBiB2O8 | PBE | optimized geometry

abc: 4.7402 4.7402 6.7440
angles: 110.58 110.58 90.00
With the nearest neighbours (Å) after each atom.
Positions (direct):
Th: 0.7500 0.2500 0.5000  8 O 2.37-2.49
Bi: 0.0000 0.0000 0.0000  8 O 2.39-2.51
B: 0.5000 0.5000 0.0000  4 O 1.48
B: 0.2500 0.7500 0.5000  4 O 1.48
O: 0.6755 0.8079 0.1408  1 B 1.48
O: 0.4653 0.3329 0.1408  1 B 1.48
O: 0.5608 0.7133 0.6339  1 B 1.48
O: 0.0731 0.9206 0.6339  1 B 1.48
O: 0.0794 0.4392 0.3661  1 B 1.48
O: 0.2867 0.9269 0.3661  1 B 1.48
O: 0.1921 0.5347 0.8592  1 B 1.48
O: 0.6671 0.3245 0.8592  1 B 1.48

## Properties
The value obtained for the formation energy (no corrections) is -23.6 eV per formula unit.



2.
AcTa2PdO8 | PBE | optimized geometry

abc: 5.1104 5.1048 6.5486
angles: 88.57 88.57 84.92
With the nearest neighbours (Å) after each atom.
Positions (direct):
Ac: 0.0000 0.0000 0.5000  6 O 2.41-2.53
Ta: 0.4768 0.4765 0.7642  4 O 1.90-1.97
Ta: 0.5232 0.5235 0.2358  4 O 1.90-1.97
Pd: 0.0000 0.0000 0.0000  4 O 2.06
O: 0.2049 0.7675 0.2137  1 Ta 1.97, 1 Pd 2.06
O: 0.6781 0.6802 0.0017  1 Ta 1.90
O: 0.7694 0.2067 0.2136  1 Ta 1.97, 1 Pd 2.06
O: 0.7951 0.2325 0.7863  1 Ta 1.97, 1 Pd 2.06
O: 0.3219 0.3198 0.9983  1 Ta 1.90
O: 0.2306 0.7933 0.7864  1 Ta 1.97, 1 Pd 2.06
O: 0.6643 0.6661 0.4791  1 Ta 1.95
O: 0.3357 0.3339 0.5209  1 Ta 1.95

## Properties
The value obtained for the formation energy (no corrections) is -27.9 eV per formula unit.



3.
PmDy3Rh3 | PBE | optimized geometry

abc: 6.9190 6.9190 6.9430
angles: 90.63 90.63 96.50
With the nearest neighbours (Å) after each atom.
Positions (direct):
Pm: 0.7395 0.7395 0.8840  4 Rh 2.82-2.98
Pm: 0.2605 0.2605 0.1160  4 Rh 2.82-2.98
Dy: 0.6775 0.6775 0.3846  3 Rh 2.76-2.79
Dy: 0.1834 0.8166 0.5000  6 Rh 2.84-2.92
Dy: 0.8166 0.1834 0.5000  6 Rh 2.84-2.92
Dy: 0.2422 0.7578 0.0000  6 Rh 2.92-2.98
Dy: 0.7578 0.2422 0.0000  6 Rh 2.92-2.98
Dy: 0.3225 0.3225 0.6154  3 Rh 2.76-2.79
Rh: 0.9452 0.9452 0.2030  5 Dy 2.79-2.92, 2 Pm 2.89-2.98, 1 Rh 3.01
Rh: 0.0021 0.4963 0.7311  5 Dy 2.76-2.98, 1 Pm 2.82
Rh: 0.4963 0.0021 0.7311  5 Dy 2.76-2.98, 1 Pm 2.82
Rh: 0.9979 0.5037 0.2689  5 Dy 2.76-2.98, 1 Pm 2.82
Rh: 0.5037 0.9979 0.2689  5 Dy 2.76-2.98, 1 Pm 2.82
Rh: 0.0548 0.0548 0.7970  5 Dy 2.79-2.92, 2 Pm 2.89-2.98, 1 Rh 3.01

## Properties
For the energy relative to the elements, the calculation gives -0.6655 eV per atom.



4.
AcIn6Sn | PBE | optimized geometry

abc: 5.5418 6.7863 6.7863
angles: 63.98 90.00 90.00
With the nearest neighbours (Å) after each atom.
Positions (direct):
Ac: 0.5000 0.0000 0.0000  12 In 3.39-3.80, 2 Sn 3.60
In: 0.0000 0.7086 0.2914  3 In 3.00-3.34, 2 Sn 3.15
In: 0.0000 0.2914 0.7086  3 In 3.00-3.34, 2 Sn 3.15
In: 0.0000 0.7746 0.7746  10 In 3.31-3.64
In: 0.0000 0.2254 0.2254  10 In 3.31-3.64
In: 0.5000 0.5000 0.0000  6 In 3.31-3.60, 2 Ac 3.39, 2 Sn 3.39
In: 0.5000 0.0000 0.5000  6 In 3.31-3.60, 2 Sn 3.39, 2 Ac 3.39
Sn: 0.5000 0.5000 0.5000  8 In 3.15-3.39

## Properties
For the energy relative to the elements, the calculation gives -0.1638 eV per atom.



5.
RbSeO3 | PBE | optimized geometry

abc: 4.5792 4.5792 4.5792
angles: 85.68 85.68 85.68
With the nearest neighbours (Å) after each atom.
Positions (direct):
Rb: 0.9622 0.9622 0.9622  9 O 2.97-3.18
Se: 0.4880 0.4880 0.4880  3 O 1.69
O: 0.4060 0.4060 0.8498  1 Se 1.69
O: 0.4060 0.8498 0.4060  1 Se 1.69
O: 0.8498 0.4060 0.4060  1 Se 1.69

## Properties
The value obtained for the formation energy (no corrections) is -5.2 eV per formula unit.



6.
La2Hg2Pd3 | PBE | optimized geometry

abc: 4.3119 7.4800 5.6060
angles: 104.94 112.62 90.00
With the nearest neighbours (Å) after each atom.
Positions (direct):
La: 0.3756 0.2081 0.7512  6 Pd 2.98-3.14
La: 0.6244 0.7919 0.2488  6 Pd 2.98-3.14
Hg: 0.1264 0.4311 0.2528  4 Pd 2.85-3.12, 1 Hg 3.07
Hg: 0.8736 0.5689 0.7472  4 Pd 2.85-3.12, 1 Hg 3.07
Pd: 0.0000 0.0000 0.0000  4 Pd 2.90, 2 Hg 3.12, 4 La 3.14
Pd: 0.3344 0.7978 0.6688  3 Hg 2.85-2.98, 2 Pd 2.90, 4 La 2.98-3.05
Pd: 0.6656 0.2022 0.3312  3 Hg 2.85-2.98, 2 Pd 2.90, 4 La 2.98-3.05

## Properties
For the energy relative to the elements, the calculation gives -0.6908 eV per atom.



7.
TcAg3Cl8 | PBE | optimized geometry

abc: 6.8148 6.8148 7.8993
angles: 90.00 90.00 117.23
With the nearest neighbours (Å) after each atom.
Positions (direct):
Tc: 0.5000 0.5000 0.5000  6 Cl 2.36-2.39
Ag: 0.0000 0.5000 0.2379  6 Cl 2.62-2.88
Ag: 0.5000 0.5000 0.0000  2 Cl 2.47
Ag: 0.5000 0.0000 0.7621  6 Cl 2.62-2.88
Cl: 0.7052 0.2948 0.5000  1 Tc 2.39
Cl: 0.7120 0.2880 0.0000  3 Ag 2.47-2.62
Cl: 0.7305 0.7407 0.7100  1 Tc 2.36
Cl: 0.7407 0.7305 0.2900  1 Tc 2.36
Cl: 0.2593 0.2695 0.2900  1 Tc 2.36
Cl: 0.2695 0.2593 0.7100  1 Tc 2.36
Cl: 0.2880 0.7120 0.0000  3 Ag 2.47-2.62
Cl: 0.2948 0.7052 0.5000  1 Tc 2.39

## Properties
The value obtained for the formation energy (no corrections) is -6.4 eV per formula unit.



8.
AcDy2Zn6 | PBE | optimized geometry

abc: 3.6312 7.9144 7.9124
angles: 120.01 90.02 90.00
With the nearest neighbours (Å) after each atom.
Positions (direct):
Ac: 0.0000 0.0000 0.0000  12 Zn 3.26, 2 Ac 3.63
Dy: 0.0000 0.3333 0.6666  12 Zn 3.17-3.18
Dy: 0.0000 0.6667 0.3334  12 Zn 3.17-3.18
Zn: 0.5002 0.3419 0.3417  3 Zn 2.50-2.71
Zn: 0.4998 0.6581 0.6583  3 Zn 2.50-2.71
Zn: 0.4998 0.0002 0.6583  3 Zn 2.50-2.71
Zn: 0.5000 0.6581 0.0000  3 Zn 2.50-2.70
Zn: 0.5000 0.3418 0.0000  3 Zn 2.50-2.70
Zn: 0.5002 0.9998 0.3417  3 Zn 2.50-2.71

## Properties
For the energy relative to the elements, the calculation gives -0.3207 eV per atom.



9.
ScPtPb2 | PBE | optimized geometry

abc: 4.5961 4.5891 4.2412
angles: 90.00 90.00 90.00
With the nearest neighbours (Å) after each atom.
Positions (direct):
Pb: 0.0000 0.0000 0.0000  4 Sc 3.12, 4 Pt 3.13, 4 Pb 3.25
Pb: 0.5000 0.5000 0.0000  4 Pt 3.12, 4 Sc 3.13, 4 Pb 3.25
Pt: 0.5000 0.0000 0.5000  8 Pb 3.12-3.13, 4 Sc 3.25
Sc: 0.0000 0.5000 0.5000  8 Pb 3.12-3.13, 4 Pt 3.25

## Properties
For the energy relative to the elements, the calculation gives -0.2992 eV per atom.



10.
Tc3P | PBE | optimized geometry

abc: 2.9476 2.9476 7.5311
angles: 90.00 90.00 120.00
With the nearest neighbours (Å) after each atom.
Positions (direct):
P: 0.0000 0.0000 0.0000  6 Tc 2.37
Tc: 0.0000 0.0000 0.5000  12 Tc 2.72-2.95
Tc: 0.6667 0.3333 0.2185  3 P 2.37
Tc: 0.6667 0.3333 0.7815  3 P 2.37

## Properties
For the energy relative to the elements, the calculation gives -0.2344 eV per atom.



11.
TcAsCl2 | PBE | optimized geometry

abc: 4.2865 4.3187 4.3187
angles: 90.00 90.00 90.00
With the nearest neighbours (Å) after each atom.
Positions (direct):
As: 0.5000 0.0000 0.5000  8 Cl 3.04, 4 Tc 3.05
Tc: 0.5000 0.5000 0.0000  8 Cl 3.04, 4 As 3.05
Cl: 0.0000 0.0000 0.0000  4 As 3.04, 4 Tc 3.04, 4 Cl 3.05
Cl: 0.0000 0.5000 0.5000  4 As 3.04, 4 Tc 3.04, 4 Cl 3.05

## Properties
The value obtained for the formation energy (no corrections) is 3.2 eV per formula unit.



12.
TbZn4Pd7 | PBE | optimized geometry

abc: 4.8575 7.8971 6.1538
angles: 79.08 66.75 72.09
With the nearest neighbours (Å) after each atom.
Positions (direct):
Tb: 0.0000 0.0000 0.0000  2 Pd 2.43
Zn: 0.5706 0.2276 0.6312  6 Pd 2.48-2.75, 1 Zn 2.76
Zn: 0.4294 0.7724 0.3688  6 Pd 2.48-2.75, 1 Zn 2.76
Zn: 0.7101 0.6680 0.9119  6 Pd 2.52-2.73, 1 Zn 2.76
Zn: 0.2899 0.3320 0.0881  6 Pd 2.52-2.73, 1 Zn 2.76
Pd: 0.7793 0.8932 0.5483  4 Zn 2.56-2.81, 2 Pd 2.70-2.74
Pd: 0.2207 0.1068 0.4517  4 Zn 2.56-2.81, 2 Pd 2.70-2.74
Pd: 0.0631 0.6414 0.2323  3 Zn 2.52-2.75, 1 Pd 2.70
Pd: 0.9369 0.3586 0.7677  3 Zn 2.52-2.75, 1 Pd 2.70
Pd: 0.3430 0.5742 0.7399  5 Zn 2.48-2.73
Pd: 0.5000 0.0000 0.0000  2 Tb 2.43, 4 Zn 2.58-2.59
Pd: 0.6570 0.4258 0.2601  5 Zn 2.48-2.73

## Properties
For the energy relative to the elements, the calculation gives -0.3522 eV per atom.



| no. | total magnetization (μB/f.u.) |
| --- | --- |
| 1 | 2.6 |
| 2 | 0.9 |
| 3 | 0.0 |
| 4 | 0.0 |
| 5 | 0.0 |
| 6 | 0.0 |
| 7 | 2.1 |
| 8 | 0.0 |
| 9 | 0.0 |
| 10 | 0.0 |
| 11 | 3.7 |
| 12 | 0.0 |